# 1
Entry from Alexandria: a PBEsol-optimized structure of Sc2ZnCu (SCAN).

## Properties
DOS(E_F): 2.48 states/eV/cell
Space group: No. 25
ΔE_f: -0.41 eV per atom

Lattice parameters (Å, degrees): 3.245 4.583 4.643 90.00 90.00 90.00
Fractional positions:
1 Sc 0.000 0.000 0.000
2 Sc 0.000 0.500 0.477
3 Zn 0.500 0.500 0.960
4 Cu 0.500 0.000 0.524

# 2
Entry from Alexandria: a PBEsol-optimized structure of ScZnCu2 (SCAN).

## Properties
DOS(E_F): 1.70 states/eV/cell
Space group: No. 119
ΔE_f: -0.23 eV per atom

Lattice parameters (Å, degrees): 4.486 4.486 4.486 126.28 126.28 79.42
Fractional positions:
1 Sc 0.000 0.000 0.000
2 Zn 0.750 0.250 0.500
3 Cu 0.250 0.750 0.500
4 Cu 0.500 0.500 0.000

# 3
Entry from Alexandria: a PBEsol-optimized structure of ZrSc2Cu (SCAN).

## Properties
DOS(E_F): 2.92 states/eV/cell
Space group: No. 44
ΔE to the lowest computed polymorph: 48 meV/atom
ΔE_f: -0.10 eV per atom

Lattice parameters (Å, degrees): 5.843 5.843 5.843 147.57 132.03 59.10
Fractional positions:
1 Zr 0.000 0.000 0.000
2 Sc 0.429 0.429 0.000
3 Sc 0.719 0.219 0.500
4 Cu 0.219 0.719 0.500

Q: Among the records above, which one has the lowest DOS(E_F)?
A: ScZnCu2

Q: Which of these has the highest ΔE_f?
A: ZrSc2Cu